--- 1 ---
Here is a crystal of ReMoCl2 relaxed with PBEsol from Alexandria via LeMat-Bulk. Energies are from SCAN. Values from VASP.

The structure in Quantum ESPRESSO input format:
```
&SYSTEM
  ibrav = 0, nat = 4, ntyp = 3
/
ATOMIC_SPECIES
Re 186.21 Re.upf
Mo 95.94 Mo.upf
Cl 35.45 Cl.upf
ATOMIC_POSITIONS crystal
Re 0.000 0.000 0.000
Mo 0.500 0.500 0.500
Cl 0.250 0.250 0.250
Cl 0.750 0.750 0.750
CELL_PARAMETERS angstrom
0.000 3.028 3.028
3.028 0.000 3.028
3.028 3.028 0.000
```

Properties
The value obtained for the total magnetization is 0.00 μB/cell.

=====

--- 2 ---
Here is a crystal of ReMoCl2 relaxed with PBEsol from Alexandria via LeMat-Bulk. Energies are from SCAN. Values from VASP.

The structure in Quantum ESPRESSO input format:
```
&SYSTEM
  ibrav = 0, nat = 4, ntyp = 3
/
ATOMIC_SPECIES
Re 186.21 Re.upf
Mo 95.94 Mo.upf
Cl 35.45 Cl.upf
ATOMIC_POSITIONS crystal
Re 0.000 0.000 0.000
Mo 0.500 0.500 0.785
Cl 0.000 0.000 0.586
Cl 0.500 0.500 0.206
CELL_PARAMETERS angstrom
2.899 0.000 0.000
0.000 2.899 0.000
0.000 0.000 8.126
```

Properties
The value obtained for the total magnetization is 0.00 μB/cell.

=====

--- 3 ---
Here is a crystal of ReMoCl2 relaxed with PBEsol from Alexandria via LeMat-Bulk. Energies are from SCAN. Values from VASP.

The structure in Quantum ESPRESSO input format:
```
&SYSTEM
  ibrav = 0, nat = 4, ntyp = 3
/
ATOMIC_SPECIES
Re 186.21 Re.upf
Mo 95.94 Mo.upf
Cl 35.45 Cl.upf
ATOMIC_POSITIONS crystal
Re 0.000 0.000 0.000
Mo 0.500 0.500 0.800
Cl 0.000 0.000 0.582
Cl 0.500 0.500 0.222
CELL_PARAMETERS angstrom
1.557 -2.647 0.000
1.557 2.647 0.000
0.000 0.000 9.201
```

Properties
The value obtained for the total magnetization is 0.00 μB/cell.

=====

Most stable: 2

=====

--- 1 ---
Here is a crystal of MoRh2Cl relaxed with PBEsol from Alexandria via LeMat-Bulk. Energies are from SCAN. Values from VASP.

The structure in Quantum ESPRESSO input format:
```
&SYSTEM
  ibrav = 0, nat = 4, ntyp = 3
/
ATOMIC_SPECIES
Mo 95.94 Mo.upf
Rh 102.91 Rh.upf
Cl 35.45 Cl.upf
ATOMIC_POSITIONS crystal
Mo 0.000 0.000 0.000
Rh 0.250 0.250 0.250
Rh 0.750 0.750 0.750
Cl 0.500 0.500 0.500
CELL_PARAMETERS angstrom
0.000 3.088 3.088
3.088 0.000 3.088
3.088 3.088 0.000
```

Properties
The value obtained for the total magnetization is 0.00 μB/cell.

=====

--- 2 ---
Here is a crystal of MoRh2Cl relaxed with PBEsol from Alexandria via LeMat-Bulk. Energies are from SCAN. Values from VASP.

The structure in Quantum ESPRESSO input format:
```
&SYSTEM
  ibrav = 0, nat = 4, ntyp = 3
/
ATOMIC_SPECIES
Mo 95.94 Mo.upf
Rh 102.91 Rh.upf
Cl 35.45 Cl.upf
ATOMIC_POSITIONS crystal
Mo 0.000 0.000 0.000
Rh 0.250 0.250 0.250
Rh 0.500 0.500 0.500
Cl 0.750 0.750 0.750
CELL_PARAMETERS angstrom
0.000 3.046 3.046
3.046 0.000 3.046
3.046 3.046 0.000
```

Properties
The value obtained for the total magnetization is 0.00 μB/cell.

=====

--- 3 ---
Here is a crystal of MoRh2Cl relaxed with PBEsol from Alexandria via LeMat-Bulk. Energies are from SCAN. Values from VASP.

The structure in Quantum ESPRESSO input format:
```
&SYSTEM
  ibrav = 0, nat = 4, ntyp = 3
/
ATOMIC_SPECIES
Mo 95.94 Mo.upf
Rh 102.91 Rh.upf
Cl 35.45 Cl.upf
ATOMIC_POSITIONS crystal
Mo 0.000 0.000 0.000
Rh 0.000 0.500 0.500
Rh 0.500 0.000 0.500
Cl 0.500 0.500 0.000
CELL_PARAMETERS angstrom
2.675 -3.901 0.000
2.675 3.901 0.000
0.000 0.000 2.763
```

Properties
The value obtained for the total magnetization is 0.00 μB/cell.

=====

Most stable: 2